Sr4Pu3SiN8 PBE-GGA relaxed; VASP energy = -134.25 eV per cell; space group = No. 12
1.0
6.258 -3.394 0.000
6.258 3.394 0.000
-3.810 0.000 5.913
Sr Pu Si N
4 3 1 8
direct
0.000 0.000 0.000
0.000 0.500 0.000
0.500 0.000 0.000
0.500 0.500 0.000
0.000 0.000 0.500
0.000 0.500 0.500
0.500 0.000 0.500
0.500 0.500 0.500
0.232 0.232 0.698
0.233 0.233 0.275
0.272 0.702 0.679
0.298 0.728 0.321
0.702 0.272 0.679
0.728 0.298 0.321
0.767 0.767 0.725
0.768 0.768 0.302



CaSc2Si2 PBE-GGA relaxed; space group = No. 127; polymorph energy (0 for the lowest one) = 5 meV/atom
1.0
8.064 0.000 0.000
0.000 8.064 0.000
0.000 0.000 3.229
Ca Sc Si
2 4 4
direct
0.000 0.000 0.000
0.500 0.500 0.000
0.137 0.363 0.500
0.363 0.863 0.500
0.637 0.137 0.500
0.863 0.637 0.500
0.161 0.661 0.000
0.339 0.161 0.000
0.661 0.839 0.000
0.839 0.339 0.000



ZrTiMn PBE-GGA relaxed; space group = No. 74; polymorph energy (0 for the lowest one) = 0 meV/atom
1.0
-2.504 2.772 3.564
2.504 -2.772 3.564
2.504 2.772 -3.564
Zr Ti Mn
2 2 2
direct
0.368 0.118 0.250
0.632 0.882 0.750
0.000 0.500 0.500
0.500 0.500 0.000
0.000 0.000 0.500
0.000 0.500 0.000



Co4Pt3 PBE-GGA relaxed; space group = No. 176; polymorph energy (0 for the lowest one) = 333 meV/atom
1.0
9.456 0.000 0.000
-4.728 8.190 0.000
0.000 0.000 2.673
Co Pt
8 6
direct
0.050 0.824 0.250
0.176 0.226 0.250
0.226 0.050 0.750
0.333 0.667 0.750
0.667 0.333 0.250
0.774 0.950 0.250
0.824 0.774 0.750
0.950 0.176 0.750
0.093 0.449 0.250
0.356 0.907 0.250
0.449 0.356 0.750
0.551 0.644 0.250
0.644 0.093 0.750
0.907 0.551 0.750